! Na5Mn3F12 | Alexandria | PBE with a Hubbard U | optimized geometry; values from VASP
! total moment = 14.0 μB/f.u.
! D(E_F) = 39.5 states/eV per cell
! total energy = -5.13 eV per atom
! calculated volume = 1282 Å³/cell
&SYSTEM
  ibrav = 0, nat = 80, ntyp = 3
/
ATOMIC_SPECIES
Mn 54.94 Mn.upf
Na 22.99 Na.upf
F 19.00 F.upf
CELL_PARAMETERS angstrom
11.8530 0.0000 0.0000
-3.9510 11.1751 0.0000
-3.9510 -5.5876 9.6779
ATOMIC_POSITIONS crystal
Mn 0.7500 0.3750 0.1250
Mn 0.8750 0.7500 0.1250
Mn 0.3750 0.7500 0.6250
Mn 0.2500 0.1250 0.3750
Mn 0.8750 0.1250 0.2500
Mn 0.3750 0.6250 0.2500
Mn 0.6250 0.3750 0.7500
Mn 0.1250 0.8750 0.7500
Mn 0.7500 0.8750 0.6250
Mn 0.6250 0.2500 0.3750
Mn 0.1250 0.2500 0.8750
Mn 0.2500 0.6250 0.8750
Na 0.1250 0.3750 0.2500
Na 0.0000 0.5000 0.0000
Na 0.0000 0.0000 0.0000
Na 0.3750 0.2500 0.1250
Na 0.5000 0.0000 0.5000
Na 0.5000 0.5000 0.0000
Na 0.1250 0.7500 0.3750
Na 0.7500 0.1250 0.8750
Na 0.7500 0.6250 0.3750
Na 0.3750 0.1250 0.7500
Na 0.6250 0.8750 0.2500
Na 0.5000 0.5000 0.5000
Na 0.5000 0.0000 0.0000
Na 0.0000 0.0000 0.5000
Na 0.2500 0.3750 0.6250
Na 0.2500 0.8750 0.1250
Na 0.0000 0.5000 0.5000
Na 0.8750 0.2500 0.6250
Na 0.6250 0.7500 0.8750
Na 0.8750 0.6250 0.7500
F 0.6201 0.1819 0.9831
F 0.3630 0.4831 0.3012
F 0.0169 0.3181 0.3799
F 0.4831 0.1201 0.1819
F 0.4383 0.6201 0.6370
F 0.0169 0.6988 0.1370
F 0.3630 0.8799 0.5617
F 0.1988 0.0617 0.1819
F 0.6988 0.0169 0.6370
F 0.6201 0.4383 0.1370
F 0.8799 0.5169 0.3181
F 0.8630 0.8012 0.9831
F 0.1819 0.6201 0.4831
F 0.3181 0.3012 0.9383
F 0.9383 0.8012 0.3181
F 0.5617 0.1819 0.6988
F 0.9383 0.1370 0.1201
F 0.5169 0.6370 0.1988
F 0.8630 0.0617 0.3799
F 0.1819 0.5617 0.1988
F 0.3181 0.0169 0.8799
F 0.6988 0.6819 0.5617
F 0.8012 0.8630 0.4831
F 0.8799 0.3630 0.0617
F 0.3012 0.3181 0.4383
F 0.1988 0.1370 0.5169
F 0.1201 0.6370 0.9383
F 0.1370 0.9383 0.6201
F 0.6819 0.9831 0.1201
F 0.8181 0.4383 0.8012
F 0.4831 0.3630 0.8012
F 0.4383 0.8181 0.3012
F 0.0617 0.8630 0.8799
F 0.0617 0.1988 0.6819
F 0.8181 0.3799 0.5169
F 0.1370 0.1988 0.0169
F 0.6819 0.6988 0.0617
F 0.3012 0.9831 0.3630
F 0.3799 0.5617 0.8630
F 0.1201 0.4831 0.6819
F 0.8012 0.9383 0.8181
F 0.6370 0.1201 0.4383
F 0.5169 0.8799 0.8181
F 0.9831 0.3012 0.8630
F 0.5617 0.3799 0.3630
F 0.9831 0.6819 0.6201
F 0.6370 0.5169 0.6988
F 0.3799 0.8181 0.0169

=====

! Na3MnF8 | Alexandria | PBE with a Hubbard U | optimized geometry; values from VASP
! total moment = 2.0 μB/f.u.
! D(E_F) = 4.7 states/eV per cell
! total energy = -4.31 eV per atom
! calculated volume = 146 Å³/cell
&SYSTEM
  ibrav = 0, nat = 12, ntyp = 3
/
ATOMIC_SPECIES
Na 22.99 Na.upf
Mn 54.94 Mn.upf
F 19.00 F.upf
CELL_PARAMETERS angstrom
-5.2569 -0.0153 0.3810
0.3767 -1.0246 5.1564
0.0591 5.1701 1.0230
ATOMIC_POSITIONS crystal
Na 0.5000 0.5000 0.0000
Na 0.5000 0.0000 0.5000
Na 0.0000 0.5000 0.5000
Mn 0.0000 0.0000 0.0000
F 0.2221 0.2221 0.7779
F 0.2221 0.7779 0.2221
F 0.7779 0.2221 0.2221
F 0.7779 0.7779 0.7779
F 0.7779 0.7779 0.2221
F 0.7779 0.2221 0.7779
F 0.2221 0.7779 0.7779
F 0.2221 0.2221 0.2221

=====

! NaMnF6 | Alexandria | PBE with a Hubbard U | optimized geometry; values from VASP
! total moment = 1.9 μB/f.u.
! D(E_F) = 4.5 states/eV per cell
! total energy = -4.53 eV per atom
! calculated volume = 114 Å³/cell
&SYSTEM
  ibrav = 0, nat = 8, ntyp = 3
/
ATOMIC_SPECIES
Na 22.99 Na.upf
Mn 54.94 Mn.upf
F 19.00 F.upf
CELL_PARAMETERS angstrom
-1.8695 -4.0788 1.8113
4.4058 -2.5467 -1.1873
-0.5105 2.3044 4.6622
ATOMIC_POSITIONS crystal
Na 0.5000 0.0000 0.0000
Mn 0.0000 0.6667 0.3333
F 0.7842 0.9475 0.6137
F 0.2158 0.9475 0.3338
F 0.2158 0.6662 0.6137
F 0.7842 0.6662 0.0525
F 0.7842 0.3863 0.3338
F 0.2158 0.3863 0.0525

=====

! Na2Mn2F7 | Alexandria | PBE with a Hubbard U | optimized geometry; values from VASP
! energy above the lowest structure with this stoichiometry = 0.000 eV per atom
! total moment = 9.0 μB/f.u.
! total energy = -5.43 eV per atom
! calculated volume = 163 Å³/cell
&SYSTEM
  ibrav = 0, nat = 11, ntyp = 3
/
ATOMIC_SPECIES
Na 22.99 Na.upf
Mn 54.94 Mn.upf
F 19.00 F.upf
CELL_PARAMETERS angstrom
5.6618 0.6571 -0.3365
0.3898 5.4526 -0.8293
-0.1039 -0.5216 5.4158
ATOMIC_POSITIONS crystal
Na 0.9467 0.7403 0.2858
Na 0.0599 0.2574 0.7191
Mn 0.5640 0.3319 0.2160
Mn 0.4375 0.6711 0.7811
F 0.8608 0.1649 0.3258
F 0.7380 0.4803 0.9509
F 0.3688 0.3327 0.5273
F 0.5043 0.0173 0.0005
F 0.6256 0.6489 0.4477
F 0.1145 0.8418 0.6823
F 0.2800 0.5133 0.0636

=====

! NaMn2F8 | Alexandria | PBE with a Hubbard U | optimized geometry; values from VASP
! total moment = 7.0 μB/f.u.
! D(E_F) = 1.4 states/eV per cell
! total energy = -5.12 eV per atom
! calculated volume = 152 Å³/cell
&SYSTEM
  ibrav = 0, nat = 11, ntyp = 3
/
ATOMIC_SPECIES
Na 22.99 Na.upf
Mn 54.94 Mn.upf
F 19.00 F.upf
CELL_PARAMETERS angstrom
-3.3975 1.7067 -1.5360
-0.6031 -4.8277 -3.9719
-2.8454 0.3029 6.6487
ATOMIC_POSITIONS crystal
Na 0.0000 0.0000 0.0000
Mn 0.2499 0.2419 0.6211
Mn 0.7501 0.7581 0.3789
F 0.2494 0.8376 0.4186
F 0.7506 0.1624 0.5814
F 0.7511 0.7814 0.1414
F 0.2479 0.2205 0.3612
F 0.2559 0.5893 0.7953
F 0.2489 0.2186 0.8586
F 0.7521 0.7794 0.6388
F 0.7441 0.4107 0.2047

=====

! Na3MnF6 | Alexandria | PBE with a Hubbard U | optimized geometry; values from VASP
! energy above the lowest structure with this stoichiometry = 0.045 eV per atom
! total moment = 4.0 μB/f.u.
! D(E_F) = 6.8 states/eV per cell
! total energy = -4.90 eV per atom
! calculated volume = 136 Å³/cell
&SYSTEM
  ibrav = 0, nat = 10, ntyp = 3
/
ATOMIC_SPECIES
Na 22.99 Na.upf
Mn 54.94 Mn.upf
F 19.00 F.upf
CELL_PARAMETERS angstrom
4.9928 0.0000 2.6495
1.7934 4.6596 2.6495
0.0666 0.0457 5.9035
ATOMIC_POSITIONS crystal
Na 0.3528 0.3528 0.9417
Na 0.6322 0.6322 0.1034
Na 0.1399 0.1399 0.5803
Mn 0.8442 0.8442 0.4674
F 0.9619 0.5994 0.2530
F 0.1857 0.9619 0.2530
F 0.5994 0.1857 0.2530
F 0.0500 0.4993 0.7160
F 0.7347 0.0500 0.7160
F 0.4993 0.7347 0.7160

=====

! Na5Mn3F14 | Alexandria | PBE with a Hubbard U | optimized geometry; values from VASP
! energy above the lowest structure with this stoichiometry = 0.001 eV per atom
! total moment = 12.0 μB/f.u.
! total energy = -5.15 eV per atom
! calculated volume = 1169 Å³/cell
&SYSTEM
  ibrav = 0, nat = 88, ntyp = 3
/
ATOMIC_SPECIES
Na 22.99 Na.upf
Mn 54.94 Mn.upf
F 19.00 F.upf
CELL_PARAMETERS angstrom
7.5457 0.0000 0.0000
0.0000 12.2758 0.0000
0.0000 0.0000 12.6247
ATOMIC_POSITIONS crystal
Na 0.8224 0.7598 0.4199
Na 0.1776 0.2598 0.5801
Na 0.6776 0.7598 0.9199
Na 0.3224 0.2598 0.0801
Na 0.7371 0.9970 0.2291
Na 0.2629 0.4970 0.7709
Na 0.7629 0.9970 0.7291
Na 0.2371 0.4970 0.2709
Na 0.7967 0.2526 0.0768
Na 0.2033 0.7526 0.9232
Na 0.7033 0.2526 0.5768
Na 0.2967 0.7526 0.4232
Na 0.7238 0.4998 0.2369
Na 0.2762 0.9998 0.7631
Na 0.7762 0.4998 0.7369
Na 0.2238 0.9998 0.2631
Na 0.0340 0.0363 0.0213
Na 0.9660 0.5363 0.9787
Na 0.4660 0.0363 0.5213
Na 0.5340 0.5363 0.4787
Mn 0.5023 0.2454 0.3354
Mn 0.4977 0.7454 0.6646
Mn 0.9977 0.2454 0.8354
Mn 0.0023 0.7454 0.1646
Mn 0.9948 0.5002 0.5019
Mn 0.0052 0.0002 0.4981
Mn 0.5052 0.5002 0.0019
Mn 0.4948 0.0002 0.9981
Mn 0.0019 0.2461 0.3122
Mn 0.9981 0.7461 0.6878
Mn 0.4981 0.2461 0.8122
Mn 0.5019 0.7461 0.1878
F 0.4242 0.3585 0.9255
F 0.5758 0.8585 0.0745
F 0.0758 0.3585 0.4255
F 0.9242 0.8585 0.5745
F 0.5757 0.2502 0.1937
F 0.4243 0.7502 0.8063
F 0.9243 0.2502 0.6937
F 0.0757 0.7502 0.3063
F 0.1301 0.4488 0.6168
F 0.8699 0.9488 0.3832
F 0.3699 0.4488 0.1168
F 0.6301 0.9488 0.8832
F 0.2711 0.7378 0.1140
F 0.7289 0.2378 0.8860
F 0.2289 0.7378 0.6140
F 0.7711 0.2378 0.3860
F 0.4635 0.6300 0.3010
F 0.5365 0.1300 0.6990
F 0.0365 0.6300 0.8010
F 0.9635 0.1300 0.1990
F 0.7147 0.4365 0.0582
F 0.2853 0.9365 0.9418
F 0.7853 0.4365 0.5582
F 0.2147 0.9365 0.4418
F 0.1989 0.5671 0.4443
F 0.8011 0.0671 0.5557
F 0.3011 0.5671 0.9443
F 0.6989 0.0671 0.0557
F 0.4310 0.8564 0.2783
F 0.5690 0.3564 0.7217
F 0.0690 0.8564 0.7783
F 0.9310 0.3564 0.2217
F 0.7477 0.7634 0.2410
F 0.2523 0.2634 0.7590
F 0.7523 0.7634 0.7410
F 0.2477 0.2634 0.2590
F 0.5605 0.7340 0.5181
F 0.4395 0.2340 0.4819
F 0.9395 0.7340 0.0181
F 0.0605 0.2340 0.9819
F 0.6547 0.5614 0.8963
F 0.3453 0.0614 0.1037
F 0.8453 0.5614 0.3963
F 0.1547 0.0614 0.6037
F 0.4939 0.0906 0.3315
F 0.5061 0.5906 0.6685
F 0.0061 0.0906 0.8315
F 0.9939 0.5906 0.1685
F 0.0093 0.9001 0.1530
F 0.9907 0.4001 0.8470
F 0.4907 0.9001 0.6530
F 0.5093 0.4001 0.3470
F 0.9117 0.6383 0.5957
F 0.0883 0.1383 0.4043
F 0.5883 0.6383 0.0957
F 0.4117 0.1383 0.9043

=====

! NaMn2F4 | Alexandria | PBE with a Hubbard U | optimized geometry; values from VASP
! total moment = 10.2 μB/f.u.
! D(E_F) = 1.6 states/eV per cell
! total energy = -5.65 eV per atom
! calculated volume = 223 Å³/cell
&SYSTEM
  ibrav = 0, nat = 14, ntyp = 3
/
ATOMIC_SPECIES
Na 22.99 Na.upf
Mn 54.94 Mn.upf
F 19.00 F.upf
CELL_PARAMETERS angstrom
5.9351 0.0000 -3.3148
-1.8513 5.6390 -3.3148
-0.0903 -0.1247 6.8091
ATOMIC_POSITIONS crystal
Na 0.7500 0.2500 0.5000
Na 0.5000 0.5000 0.0000
Mn 0.1250 0.8750 0.7500
Mn 0.6250 0.8750 0.7500
Mn 0.1250 0.8750 0.2500
Mn 0.1250 0.3750 0.2500
F 0.9276 0.6428 0.2856
F 0.3572 0.6420 0.7144
F 0.3572 0.0724 0.7144
F 0.8920 0.1072 0.2144
F 0.8928 0.6776 0.7856
F 0.8928 0.1080 0.7856
F 0.3580 0.6428 0.2856
F 0.3224 0.1072 0.2144

=====

! Na3MnF6 | Alexandria | PBE with a Hubbard U | optimized geometry; values from VASP
! energy above the lowest structure with this stoichiometry = 0.000 eV per atom
! total moment = 4.0 μB/f.u.
! D(E_F) = 0.0 states/eV per cell
! total energy = -4.95 eV per atom
! calculated volume = 263 Å³/cell
&SYSTEM
  ibrav = 0, nat = 20, ntyp = 3
/
ATOMIC_SPECIES
Na 22.99 Na.upf
Mn 54.94 Mn.upf
F 19.00 F.upf
CELL_PARAMETERS angstrom
-0.3954 4.2574 3.8370
-4.9667 -1.9007 1.5971
-1.0916 -6.5816 7.1901
ATOMIC_POSITIONS crystal
Na 0.5549 0.7580 0.2484
Na 0.0549 0.2420 0.2516
Na 0.4451 0.2420 0.7516
Na 0.9451 0.7580 0.7484
Na 0.5000 0.5000 0.0000
Na 0.0000 0.5000 0.5000
Mn 0.5000 0.0000 0.5000
Mn 0.0000 0.0000 0.0000
F 0.2202 0.0939 0.5673
F 0.7202 0.9061 0.9327
F 0.7798 0.9061 0.4327
F 0.2798 0.0939 0.0673
F 0.3280 0.7767 0.4415
F 0.8280 0.2233 0.0585
F 0.6720 0.2233 0.5585
F 0.1720 0.7767 0.9415
F 0.0618 0.3547 0.7636
F 0.5618 0.6453 0.7364
F 0.9382 0.6453 0.2364
F 0.4382 0.3547 0.2636

=====

! Na3MnF6 | Alexandria | PBE with a Hubbard U | optimized geometry; values from VASP
! energy above the lowest structure with this stoichiometry = 0.177 eV per atom
! total moment = 2.0 μB/f.u.
! D(E_F) = 0.0 states/eV per cell
! total energy = -4.77 eV per atom
! calculated volume = 274 Å³/cell
&SYSTEM
  ibrav = 0, nat = 20, ntyp = 3
/
ATOMIC_SPECIES
Na 22.99 Na.upf
Mn 54.94 Mn.upf
F 19.00 F.upf
CELL_PARAMETERS angstrom
5.6643 0.0000 0.0000
-2.8322 4.9054 0.0000
0.0000 0.0000 9.8683
ATOMIC_POSITIONS crystal
Na 0.0000 0.0000 0.5000
Na 0.0000 0.0000 0.0000
Na 0.6667 0.3333 0.0617
Na 0.3333 0.6667 0.5617
Na 0.3333 0.6667 0.9383
Na 0.6667 0.3333 0.4383
Mn 0.6667 0.3333 0.7500
Mn 0.3333 0.6667 0.2500
F 0.9319 0.6118 0.6330
F 0.3882 0.3201 0.6330
F 0.0681 0.3882 0.1330
F 0.3201 0.3882 0.3670
F 0.6799 0.0681 0.6330
F 0.6118 0.6799 0.1330
F 0.0681 0.6799 0.3670
F 0.6799 0.6118 0.8670
F 0.3201 0.9319 0.1330
F 0.9319 0.3201 0.8670
F 0.6118 0.9319 0.3670
F 0.3882 0.0681 0.8670

=====

! NaMn3F6 | Alexandria | PBE with a Hubbard U | optimized geometry; values from VASP
! total moment = 14.6 μB/f.u.
! D(E_F) = 0.4 states/eV per cell
! total energy = -5.93 eV per atom
! calculated volume = 145 Å³/cell
&SYSTEM
  ibrav = 0, nat = 10, ntyp = 3
/
ATOMIC_SPECIES
Na 22.99 Na.upf
Mn 54.94 Mn.upf
F 19.00 F.upf
CELL_PARAMETERS angstrom
3.4485 0.0000 0.0000
0.0000 6.3122 -2.1555
0.0000 -0.0610 6.6698
ATOMIC_POSITIONS crystal
Na 0.0000 0.5000 0.5000
Mn 0.5000 0.5000 0.0000
Mn 0.0000 0.0000 0.0000
Mn 0.5000 0.0000 0.5000
F 0.0000 0.0703 0.3336
F 0.0000 0.9297 0.6664
F 0.0000 0.3336 0.0703
F 0.0000 0.6664 0.9297
F 0.5000 0.6596 0.3404
F 0.5000 0.3404 0.6596

=====

! NaMnNiF6 | Alexandria | PBE with a Hubbard U | optimized geometry; values from VASP
! total moment = 6.0 μB/f.u.
! D(E_F) = 13.5 states/eV per cell
! total energy = -4.91 eV per atom
! calculated volume = 238 Å³/cell
&SYSTEM
  ibrav = 0, nat = 18, ntyp = 4
/
ATOMIC_SPECIES
Na 22.99 Na.upf
Mn 54.94 Mn.upf
Ni 58.69 Ni.upf
F 19.00 F.upf
CELL_PARAMETERS angstrom
-3.4839 -3.0482 -2.5670
4.4673 -2.1100 1.9001
-4.5272 -1.9582 8.4693
ATOMIC_POSITIONS crystal
Na 0.0000 0.0000 0.0000
Na 0.0000 0.0000 0.5000
Mn 0.3333 0.6667 0.2500
Mn 0.6667 0.3333 0.7500
Ni 0.6667 0.3333 0.2500
Ni 0.3333 0.6667 0.7500
F 0.6349 0.6423 0.1409
F 0.0074 0.3651 0.1409
F 0.3651 0.0074 0.6409
F 0.9926 0.6349 0.8591
F 0.3577 0.3651 0.3591
F 0.0074 0.6423 0.3591
F 0.6423 0.0074 0.8591
F 0.6349 0.9926 0.3591
F 0.9926 0.3577 0.6409
F 0.3577 0.9926 0.1409
F 0.6423 0.6349 0.6409
F 0.3651 0.3577 0.8591

=====

! NaMn2NiF8 | Alexandria | PBE with a Hubbard U | optimized geometry; values from VASP
! total moment = 11.0 μB/f.u.
! D(E_F) = 8.0 states/eV per cell
! total energy = -5.08 eV per atom
! calculated volume = 172 Å³/cell
&SYSTEM
  ibrav = 0, nat = 12, ntyp = 4
/
ATOMIC_SPECIES
Na 22.99 Na.upf
Mn 54.94 Mn.upf
Ni 58.69 Ni.upf
F 19.00 F.upf
CELL_PARAMETERS angstrom
-4.4972 -3.2032 2.5228
0.4551 -1.7419 -5.7973
5.2206 -1.0000 2.9318
ATOMIC_POSITIONS crystal
Na 0.0000 0.0000 0.0000
Mn 0.7500 0.2500 0.5000
Mn 0.5000 0.5000 0.0000
Ni 0.2500 0.7500 0.5000
F 0.3763 0.0627 0.3136
F 0.3100 0.5256 0.2156
F 0.3100 0.0944 0.7844
F 0.7491 0.0627 0.6864
F 0.9056 0.6900 0.2156
F 0.9373 0.2509 0.3136
F 0.9373 0.6237 0.6864
F 0.4744 0.6900 0.7844

=====

! NaNpMnF6 | Alexandria | PBE with a Hubbard U | optimized geometry; values from VASP
! total moment = 9.0 μB/f.u.
! D(E_F) = 6.9 states/eV per cell
! total energy = -6.63 eV per atom
! calculated volume = 289 Å³/cell
&SYSTEM
  ibrav = 0, nat = 18, ntyp = 4
/
ATOMIC_SPECIES
Na 22.99 Na.upf
Np 237.00 Np.upf
Mn 54.94 Mn.upf
F 19.00 F.upf
CELL_PARAMETERS angstrom
5.9458 0.0000 0.0000
-2.9729 5.1492 0.0000
0.0000 0.0000 9.4265
ATOMIC_POSITIONS crystal
Na 0.0000 0.0000 0.0000
Na 0.0000 0.0000 0.5000
Np 0.6667 0.3333 0.2500
Np 0.3333 0.6667 0.7500
Mn 0.3333 0.6667 0.2500
Mn 0.6667 0.3333 0.7500
F 0.6411 0.6612 0.1319
F 0.0201 0.3589 0.1319
F 0.3589 0.0201 0.6319
F 0.9799 0.6411 0.8681
F 0.3388 0.3589 0.3681
F 0.0201 0.6612 0.3681
F 0.6612 0.0201 0.8681
F 0.6411 0.9799 0.3681
F 0.9799 0.3388 0.6319
F 0.3388 0.9799 0.1319
F 0.6612 0.6411 0.6319
F 0.3589 0.3388 0.8681